No. 1
RbTl2CuAg: optimized geometry, GGA-PBE.

## Properties
* ΔH_f (0 K): 0.143 eV/atom

Unit cell a=5.314 b=5.314 c=5.333 alpha=90.00 beta=90.00 gamma=90.00
Atoms (fractional coordinates):
Tl (0.000, 0.500, 0.000)
Tl (0.500, 0.000, 0.000)
Cu (0.000, 0.000, 0.000)
Rb (0.500, 0.500, 0.500)
Ag (0.000, 0.000, 0.500)

No. 2
Al3Ga5Hg12: optimized geometry, GGA-PBE.

## Properties
* ΔH_f (0 K): 0.192 eV/atom

Unit cell a=14.035 b=14.035 c=14.035 alpha=109.47 beta=109.47 gamma=109.47
Atoms (fractional coordinates):
Al (0.750, 0.375, 0.125)
Al (0.875, 0.750, 0.125)
Al (0.375, 0.750, 0.625)
Al (0.250, 0.125, 0.375)
Al (0.875, 0.125, 0.250)
Al (0.375, 0.625, 0.250)
Al (0.625, 0.375, 0.750)
Al (0.125, 0.875, 0.750)
Al (0.750, 0.875, 0.625)
Al (0.625, 0.250, 0.375)
Al (0.125, 0.250, 0.875)
Al (0.250, 0.625, 0.875)
Ga (0.125, 0.375, 0.250)
Ga (0.000, 0.500, 0.000)
Ga (0.000, 0.000, 0.000)
Ga (0.375, 0.250, 0.125)
Ga (0.500, 0.000, 0.500)
Ga (0.500, 0.500, 0.000)
Ga (0.125, 0.750, 0.375)
Ga (0.750, 0.125, 0.875)
Ga (0.750, 0.625, 0.375)
Ga (0.375, 0.125, 0.750)
Ga (0.625, 0.875, 0.250)
Ga (0.500, 0.500, 0.500)
Ga (0.500, 0.000, 0.000)
Ga (0.000, 0.000, 0.500)
Ga (0.250, 0.375, 0.625)
Ga (0.250, 0.875, 0.125)
Ga (0.000, 0.500, 0.500)
Ga (0.875, 0.250, 0.625)
Ga (0.625, 0.750, 0.875)
Ga (0.875, 0.625, 0.750)
Hg (0.734, 0.126, 0.060)
Hg (0.326, 0.560, 0.433)
Hg (0.940, 0.374, 0.266)
Hg (0.560, 0.234, 0.126)
Hg (0.608, 0.734, 0.674)
Hg (0.940, 0.567, 0.174)
Hg (0.326, 0.766, 0.392)
Hg (0.067, 0.892, 0.126)
Hg (0.567, 0.940, 0.674)
Hg (0.734, 0.608, 0.174)
Hg (0.766, 0.440, 0.374)
Hg (0.826, 0.933, 0.060)
Hg (0.126, 0.734, 0.560)
Hg (0.374, 0.433, 0.108)
Hg (0.108, 0.933, 0.374)
Hg (0.392, 0.126, 0.567)
Hg (0.108, 0.174, 0.234)
Hg (0.440, 0.674, 0.067)
Hg (0.826, 0.892, 0.266)
Hg (0.126, 0.392, 0.067)
Hg (0.374, 0.940, 0.766)
Hg (0.567, 0.626, 0.392)
Hg (0.933, 0.826, 0.560)
Hg (0.766, 0.326, 0.892)
Hg (0.433, 0.374, 0.608)
Hg (0.067, 0.174, 0.440)
Hg (0.234, 0.674, 0.108)
Hg (0.174, 0.108, 0.734)
Hg (0.626, 0.060, 0.234)
Hg (0.874, 0.608, 0.933)
Hg (0.560, 0.326, 0.933)
Hg (0.608, 0.874, 0.433)
Hg (0.892, 0.826, 0.766)
Hg (0.892, 0.067, 0.626)
Hg (0.874, 0.266, 0.440)
Hg (0.174, 0.067, 0.940)
Hg (0.626, 0.567, 0.892)
Hg (0.433, 0.060, 0.326)
Hg (0.266, 0.392, 0.826)
Hg (0.234, 0.560, 0.626)
Hg (0.933, 0.108, 0.874)
Hg (0.674, 0.234, 0.608)
Hg (0.440, 0.766, 0.874)
Hg (0.060, 0.433, 0.826)
Hg (0.392, 0.266, 0.326)
Hg (0.060, 0.626, 0.734)
Hg (0.674, 0.440, 0.567)
Hg (0.266, 0.874, 0.940)

No. 3
TiSb3Pd6: optimized geometry, GGA-PBE.

## Properties
* raw formation energy: -0.445 eV/atom

Unit cell a=4.404 b=10.231 c=12.318 alpha=137.80 beta=90.00 gamma=90.00
Atoms (fractional coordinates):
Ti (0.750, 0.057, 0.648)
Ti (0.250, 0.943, 0.352)
Sb (0.750, 0.532, 0.856)
Sb (0.250, 0.468, 0.144)
Sb (0.750, 0.670, 0.503)
Sb (0.250, 0.330, 0.497)
Sb (0.750, 0.161, 0.146)
Sb (0.250, 0.839, 0.854)
Pd (0.750, 0.574, 0.663)
Pd (0.250, 0.426, 0.337)
Pd (0.750, 0.875, 0.172)
Pd (0.250, 0.125, 0.828)
Pd (0.750, 0.374, 0.958)
Pd (0.250, 0.626, 0.042)
Pd (0.750, 0.753, 0.309)
Pd (0.250, 0.247, 0.691)
Pd (0.750, 0.174, 0.508)
Pd (0.250, 0.826, 0.492)
Pd (0.750, 0.973, 0.834)
Pd (0.250, 0.027, 0.166)

No. 4
Nd2ErScBi4: optimized geometry, GGA-PBE.

## Properties
* ΔH_f (0 K): -0.830 eV/atom

Unit cell a=4.496 b=7.782 c=7.756 alpha=109.55 beta=90.00 gamma=90.00
Atoms (fractional coordinates):
Nd (0.500, 0.000, 0.500)
Nd (0.000, 0.500, 0.500)
Er (0.000, 0.000, 0.000)
Sc (0.500, 0.500, 0.000)
Bi (0.500, 0.250, 0.235)
Bi (0.500, 0.750, 0.765)
Bi (0.000, 0.262, 0.769)
Bi (0.000, 0.738, 0.231)

No. 5
Be2InIr: optimized geometry, GGA-PBE.

## Properties
* ΔH_f (0 K): 0.012 eV/atom

Unit cell a=4.071 b=4.071 c=3.106 alpha=90.00 beta=90.00 gamma=90.00
Atoms (fractional coordinates):
Be (0.000, 0.000, 0.000)
Be (0.500, 0.500, 0.000)
Ir (0.000, 0.500, 0.500)
In (0.500, 0.000, 0.500)

No. 6
Ga3Ag3Pb: optimized geometry, GGA-PBE.

## Properties
* ΔH_f (0 K): 0.382 eV/atom

Unit cell a=7.197 b=7.197 c=7.197 alpha=90.00 beta=90.00 gamma=90.00
Atoms (fractional coordinates):
Pb (0.500, 0.500, 0.500)
Pb (0.000, 0.000, 0.000)
Ga (0.000, 0.250, 0.500)
Ga (0.000, 0.750, 0.500)
Ga (0.500, 0.000, 0.750)
Ga (0.750, 0.500, 0.000)
Ga (0.500, 0.000, 0.250)
Ga (0.250, 0.500, 0.000)
Ag (0.250, 0.000, 0.500)
Ag (0.000, 0.500, 0.250)
Ag (0.500, 0.750, 0.000)
Ag (0.750, 0.000, 0.500)
Ag (0.000, 0.500, 0.750)
Ag (0.500, 0.250, 0.000)

What did we get for total magnetization? Answer: 0.0; 0.0; 0.0; 0.0; 0.0; 0.0 Bohr magnetons per cell, in the order shown.